(1)
The following is a DFT calculation (PBE) of a relaxed CdTeBr2 crystal.

Values from the calculation:
total magnetic moment: 2.0 μB per formula unit
ΔE_f (raw): -0.09 eV/atom
excess energy over the best structure of this formula in the dataset: 295.7 meV/atom
raw total energy: -1.9442 eV/atom

Cell lengths 9.643, 9.643, 6.148 Å; angles 90.00, 90.00, 90.00 degrees
Space group I-42d (No. 122)
Inequivalent atoms, fractional coordinates:
Cd (0.000, 0.000, 0.000) x4
Te (0.000, 0.000, 0.500) x4
Br (0.126, 0.250, 0.125) x8

(2)
The following is a DFT calculation (PBE) of a relaxed CdTeBr2 crystal.

Values from the calculation:
total magnetic moment: 0.0 μB per formula unit
ΔE_f (raw): -0.15 eV/atom
excess energy over the best structure of this formula in the dataset: 238.1 meV/atom
raw total energy: -2.0018 eV/atom

Cell lengths 3.970, 5.411, 5.823 Å; angles 90.00, 90.00, 90.00 degrees
Space group Pmmm (No. 47)
Inequivalent atoms, fractional coordinates:
Cd (0.000, 0.000, 0.000) x1
Te (0.500, 0.000, 0.500) x1
Br (0.000, 0.500, 0.000) x1
Br (0.500, 0.500, 0.500) x1

(3)
The following is a DFT calculation (PBE) of a relaxed CdTeBr2 crystal.

Values from the calculation:
total magnetic moment: 0.0 μB per formula unit
ΔE_f (raw): -0.08 eV/atom
excess energy over the best structure of this formula in the dataset: 308.5 meV/atom
raw total energy: -1.9313 eV/atom

Cell lengths 5.179, 4.527, 5.247 Å; angles 90.00, 95.39, 90.00 degrees
Space group P2/m (No. 10)
Inequivalent atoms, fractional coordinates:
Cd (0.000, 0.000, 0.000) x1
Te (0.500, 0.000, 0.500) x1
Br (0.240, 0.500, 0.760) x2

(4)
The following is a DFT calculation (PBE) of a relaxed CdTe2Br crystal.

Values from the calculation:
total magnetic moment: 0.0 μB per formula unit
ΔE_f (raw): -0.27 eV/atom
excess energy over the best structure of this formula in the dataset: 3.3 meV/atom
raw total energy: -2.4849 eV/atom

Cell lengths 4.895, 3.987, 8.084 Å; angles 90.00, 95.90, 90.00 degrees
Space group Pm (No. 6)
Inequivalent atoms, fractional coordinates:
Cd (0.000, 0.000, 0.000) x1
Te (0.307, 0.500, 0.277) x1
Te (0.790, 0.000, 0.310) x1
Br (0.952, 0.500, 0.778) x1